This record from Alexandria describes a relaxed structure of Sc2BiPd2. The functional is GGA-PBE.

Cell lengths 7.6993, 7.6993, 3.4106 Å; angles 90.00, 90.00, 90.00 degrees
Atoms (fractional coordinates):
Pd (0.1277, 0.3723, 0.0000)
Pd (0.8723, 0.6277, 0.0000)
Sc (0.3360, 0.1640, 0.5000)
Pd (0.6277, 0.1277, 0.0000)
Sc (0.6640, 0.8360, 0.5000)
Sc (0.1640, 0.6640, 0.5000)
Bi (0.0000, 0.0000, 0.0000)
Sc (0.8360, 0.3360, 0.5000)
Pd (0.3723, 0.8723, 0.0000)
Bi (0.5000, 0.5000, 0.0000)

Values from the calculation:
Its total DFT energy (no corrections) is -6.177 eV/atom. The density of states at the Fermi level is 0.7401 states/eV per atom. The crystal system is tetragonal. The formation energy is -791 meV/atom.



This record from Alexandria describes a relaxed structure of Sc2BiPd2. The functional is GGA-PBE.

Cell lengths 7.9159, 7.9159, 3.3531 Å; angles 90.00, 90.00, 90.00 degrees
Atoms (fractional coordinates):
Pd (0.1302, 0.6302, 0.5000)
Bi (0.0000, 0.0000, 0.0000)
Sc (0.3476, 0.8476, 0.0000)
Pd (0.6302, 0.8698, 0.5000)
Pd (0.3698, 0.1302, 0.5000)
Sc (0.1524, 0.3476, 0.0000)
Sc (0.6524, 0.1524, 0.0000)
Bi (0.5000, 0.5000, 0.0000)
Sc (0.8476, 0.6524, 0.0000)
Pd (0.8698, 0.3698, 0.5000)

Values from the calculation:
Its total DFT energy (no corrections) is -5.995 eV/atom. The density of states at the Fermi level is 1.3265 states/eV per atom. The crystal system is tetragonal. The formation energy is -609 meV/atom.